CaZr2SbTe GGA-PBEsol optimized geometry; E_form (uncorrected) = 0.4991 eV per atom; SG = P4/mmm; volume = 33.5 Å³/atom
1.0
5.303 0.000 0.000
0.000 5.303 0.000
0.000 0.000 5.951
Ca Zr Sb Te
1 2 1 1
direct
0.000 0.000 0.000
0.000 0.500 0.500
0.500 0.000 0.500
0.500 0.500 0.500
0.500 0.500 0.000

CaTiSb2 GGA-PBEsol optimized geometry; E_form (uncorrected) = -0.3686 eV per atom; SG = I-42d; volume = 25.8 Å³/atom
1.0
-3.906 3.906 3.387
3.906 -3.906 3.387
3.906 3.906 -3.387
Ca Ti Sb
2 2 4
direct
0.000 0.000 0.000
0.750 0.250 0.500
0.250 0.750 0.500
0.500 0.500 0.000
0.156 0.625 0.031
0.375 0.406 0.531
0.594 0.125 0.969
0.875 0.844 0.469

CaTlSb2 GGA-PBEsol optimized geometry; E_form (uncorrected) = -0.4413 eV per atom; SG = Pmmm; volume = 28.2 Å³/atom
1.0
4.154 0.000 0.000
0.000 4.182 0.000
0.000 0.000 6.501
Ca Tl Sb
1 1 2
direct
0.000 0.000 0.000
0.000 0.000 0.500
0.500 0.500 0.223
0.500 0.500 0.777

CaTl2Sb GGA-PBEsol optimized geometry; E_form (uncorrected) = -0.4403 eV per atom; SG = P4/mmm; volume = 27.4 Å³/atom
1.0
4.626 0.000 0.000
0.000 4.626 0.000
0.000 0.000 5.128
Ca Tl Sb
1 2 1
direct
0.000 0.000 0.000
0.000 0.500 0.500
0.500 0.000 0.500
0.500 0.500 0.000

CaTlSb2 GGA-PBEsol optimized geometry; E_form (uncorrected) = -0.4126 eV per atom; SG = Cmmm; volume = 27.3 Å³/atom
1.0
3.394 -4.571 0.000
3.394 4.571 0.000
0.000 0.000 3.524
Ca Tl Sb
1 1 2
direct
0.000 0.000 0.000
0.500 0.500 0.000
0.000 0.500 0.500
0.500 0.000 0.500

CaTl4Sb GGA-PBEsol optimized geometry; E_form (uncorrected) = -0.0572 eV per atom; SG = F-43m; volume = 29.0 Å³/atom
1.0
0.000 4.429 4.429
4.429 0.000 4.429
4.429 4.429 0.000
Ca Tl Sb
1 4 1
direct
0.000 0.000 0.000
0.126 0.625 0.625
0.625 0.126 0.625
0.625 0.625 0.126
0.625 0.625 0.625
0.250 0.250 0.250

CaTlSb2 GGA-PBEsol optimized geometry; E_form (uncorrected) = -0.4034 eV per atom; SG = Cm; volume = 27.7 Å³/atom
1.0
5.938 -1.982 0.000
5.938 1.982 0.000
-2.068 0.000 4.698
Ca Tl Sb
1 1 2
direct
0.000 0.000 0.000
0.767 0.767 0.221
0.227 0.227 0.669
0.513 0.513 0.519

CaTlSb2 GGA-PBEsol optimized geometry; E_form (uncorrected) = -0.4528 eV per atom; SG = P4/mmm; volume = 26.9 Å³/atom
1.0
4.750 0.000 0.000
0.000 4.750 0.000
0.000 0.000 4.772
Ca Tl Sb
1 1 2
direct
0.000 0.000 0.000
0.500 0.500 0.000
0.000 0.500 0.500
0.500 0.000 0.500

CaTlSb2 GGA-PBEsol optimized geometry; E_form (uncorrected) = -0.4427 eV per atom; SG = I4/mmm; volume = 26.9 Å³/atom
1.0
-2.361 2.361 4.831
2.361 -2.361 4.831
2.361 2.361 -4.831
Ca Tl Sb
1 1 2
direct
0.000 0.000 0.000
0.500 0.500 0.000
0.250 0.750 0.500
0.750 0.250 0.500

CaTl2Sb GGA-PBEsol optimized geometry; E_form (uncorrected) = -0.2972 eV per atom; SG = F-43m; volume = 28.2 Å³/atom
1.0
0.000 3.837 3.837
3.837 0.000 3.837
3.837 3.837 0.000
Ca Tl Sb
1 2 1
direct
0.000 0.000 0.000
0.250 0.250 0.250
0.500 0.500 0.500
0.750 0.750 0.750

Ca2SbW GGA-PBEsol optimized geometry; E_form (uncorrected) = 0.3320 eV per atom; SG = Imm2; volume = 24.7 Å³/atom
1.0
-1.802 2.616 5.240
1.802 -2.616 5.240
1.802 2.616 -5.240
Ca Sb W
2 1 1
direct
0.000 0.000 0.000
0.711 0.211 0.500
0.258 0.758 0.500
0.447 0.447 0.000

CaSb2W GGA-PBEsol optimized geometry; E_form (uncorrected) = 0.3127 eV per atom; SG = I-42d; volume = 25.2 Å³/atom
1.0
-3.910 3.910 3.297
3.910 -3.910 3.297
3.910 3.910 -3.297
Ca Sb W
2 4 2
direct
0.000 0.000 0.000
0.750 0.250 0.500
0.168 0.625 0.043
0.375 0.418 0.543
0.582 0.125 0.957
0.875 0.832 0.457
0.250 0.750 0.500
0.500 0.500 0.000